# Np2BeSi3Pt4

Np2BeSi3Pt4 after structural relaxation (PBE-GGA, Alexandria via LeMat-Bulk).

Unit cell a=4.143 b=4.143 c=9.964 alpha=90.00 beta=90.00 gamma=90.00
Fractional coordinates of all 10 atoms:
Np 0.000 0.500 0.239
Np 0.500 0.000 0.761
Be 0.500 0.500 0.000
Si 0.000 0.000 0.000
Si 0.000 0.500 0.637
Si 0.500 0.000 0.363
Pt 0.000 0.000 0.500
Pt 0.000 0.500 0.877
Pt 0.500 0.000 0.123
Pt 0.500 0.500 0.500

The total magnetic moment comes out at 8.05 μB/f.u. For the energy relative to the elements, uncorrected, the calculation gives -0.719 eV per atom.